18
Lattice="-3.053 -1.142 -0.934 4.359 -2.807 -4.659 1.193 -8.091 5.991" Properties=species:S:1:pos:R:3 comment="Y2NpCrN5 | Alexandria | PBE | optimized geometry" formation_energy_uncorrected_ev_per_atom=-1.128 volume_a3_per_atom=12.91 energy_ry_per_atom=-0.7127 pbc="T T T"
Y 1.513 -9.557 0.581
Y 1.411 -6.281 3.064
Y 1.114 -3.354 0.460
Y 0.943 -4.779 -3.393
Np 0.725 -6.669 -0.374
Np 1.205 -1.515 -2.085
Cr -0.284 -8.466 5.121
Cr 3.288 -7.000 -2.188
N 2.124 -2.540 -3.835
N 0.562 -8.938 2.933
N 3.724 -9.662 -0.361
N 2.380 -7.199 1.020
N 1.691 -8.000 -1.904
N -0.219 -5.472 1.249
N 2.249 -5.224 -0.965
N -1.148 -2.910 1.152
N -0.111 -3.285 -1.776
N 0.302 -0.617 -0.234

11
Lattice="7.288 -0.031 0.077 -3.629 6.320 0.077 -1.288 -2.215 7.738" Properties=species:S:1:pos:R:3 comment="K2PuNp2Se6 | Alexandria | PBE | optimized geometry" formation_energy_uncorrected_ev_per_atom=-1.318 volume_a3_per_atom=32.55 energy_ry_per_atom=-0.5199 pbc="T T T"
K 5.479 1.021 0.077
K -1.821 5.268 0.077
Pu -0.644 -1.107 3.869
Np -0.628 3.092 3.946
Np 2.998 0.982 3.946
Se 1.766 3.035 5.523
Se -1.894 0.996 5.441
Se 0.604 1.039 2.368
Se 1.802 -1.154 5.441
Se 4.264 3.078 2.450
Se 0.568 5.228 2.450

10
Lattice="-2.214 -1.150 3.353 -0.334 -3.868 -1.547 9.621 -2.964 5.335" Properties=species:S:1:pos:R:3 comment="Dy2TmGe3Pt4 | Alexandria | PBE | optimized geometry" volume_a3_per_atom=19.90 formation_enthalpy_0k_kj_per_mol_atoms=-92.16 energy_ry_per_atom=-0.4501 pbc="T T T"
Dy 1.025 -1.232 2.858
Dy 7.323 -4.241 3.380
Tm 3.537 -3.991 3.571
Ge 4.811 -1.482 2.667
Ge 7.273 -3.157 6.323
Ge 1.074 -2.316 -0.085
Pt -1.274 -2.509 0.903
Pt 0.000 0.000 0.000
Pt 5.215 -2.523 5.182
Pt 3.132 -2.950 1.056

6
Lattice="4.376 0.000 0.000 0.000 4.376 0.000 -2.188 -2.188 9.643" Properties=species:S:1:pos:R:3 comment="AcSbSe | Alexandria | PBE | optimized geometry" formation_energy_uncorrected_ev_per_atom=-1.493 volume_a3_per_atom=30.77 polymorph_energy_kj_per_mol_atoms=1.52 energy_ry_per_atom=-0.3967 pbc="T T T"
Ac 0.000 0.000 6.779
Ac 2.188 2.188 2.864
Sb 0.000 2.188 0.000
Sb 2.188 0.000 0.000
Se 0.000 0.000 3.590
Se 2.188 2.188 6.052